Record 1
# CsNpVI6, relaxed, DFT GGA-PBE
data_CsNpVI6
_symmetry_space_group_name_H-M 'P 1'
_symmetry_Int_Tables_number 1
_symmetry_space_group_name_Hall 'P 1'
_cell_length_a 7.617
_cell_length_b 7.617
_cell_length_c 8.967
_cell_angle_alpha 90.00
_cell_angle_beta 90.00
_cell_angle_gamma 60.00
loop_
_atom_site_label
_atom_site_type_symbol
_atom_site_fract_x
_atom_site_fract_y
_atom_site_fract_z
Cs1 Cs 0.000 0.000 0.000
Np1 Np 0.667 0.667 0.500
V1 V 0.333 0.333 0.500
I1 I 0.025 0.348 0.307
I2 I 0.348 0.025 0.693
I3 I 0.627 0.348 0.693
I4 I 0.025 0.627 0.693
I5 I 0.348 0.627 0.307
I6 I 0.627 0.025 0.307
# mass density	4.36	g/cm3
# magnetic moment	7.000	Bohr magnetons per cell
# Fermi-level density of states	5.51	states/eV per cell
# ΔE_f (raw)	-0.868	eV/atom
# space-group type	No. 149
# crystal system	trigonal

***

Record 2
# CeNp2P3, relaxed, DFT GGA-PBE
data_CeNp2P3
_symmetry_space_group_name_H-M 'P 1'
_symmetry_Int_Tables_number 1
_symmetry_space_group_name_Hall 'P 1'
_cell_length_a 4.012
_cell_length_b 5.673
_cell_length_c 6.929
_cell_angle_alpha 114.17
_cell_angle_beta 106.83
_cell_angle_gamma 90.00
loop_
_atom_site_label
_atom_site_type_symbol
_atom_site_fract_x
_atom_site_fract_y
_atom_site_fract_z
Ce1 Ce 0.000 0.500 0.000
Np1 Np 0.665 0.165 0.330
Np2 Np 0.335 0.835 0.670
P1 P 0.327 0.327 0.654
P2 P 0.000 0.000 0.000
P3 P 0.673 0.673 0.346
# mass density	8.60	g/cm3
# magnetic moment	8.103	Bohr magnetons per cell
# Fermi-level density of states	17.65	states/eV per cell
# ΔH_f (0 K)	-1072	meV/atom
# space-group type	No. 71
# crystal system	orthorhombic

***

Record 3
# Si2Se, relaxed, DFT GGA-PBE
data_Si2Se
_symmetry_space_group_name_H-M 'P 1'
_symmetry_Int_Tables_number 1
_symmetry_space_group_name_Hall 'P 1'
_cell_length_a 6.301
_cell_length_b 6.301
_cell_length_c 6.301
_cell_angle_alpha 90.00
_cell_angle_beta 90.00
_cell_angle_gamma 90.00
loop_
_atom_site_label
_atom_site_type_symbol
_atom_site_fract_x
_atom_site_fract_y
_atom_site_fract_z
Si1 Si 0.609 0.609 0.391
Si2 Si 0.391 0.391 0.609
Si3 Si 0.109 0.891 0.609
Si4 Si 0.891 0.109 0.391
Si5 Si 0.391 0.109 0.109
Si6 Si 0.609 0.891 0.891
Si7 Si 0.891 0.391 0.891
Si8 Si 0.109 0.609 0.109
Se1 Se 0.000 0.000 0.000
Se2 Se 0.500 0.500 0.000
Se3 Se 0.500 0.000 0.500
Se4 Se 0.000 0.500 0.500
# mass density	3.59	g/cm3
# energy above the most stable polymorph in this dataset	789	meV per atom
# magnetic moment	0.000	Bohr magnetons per cell
# Fermi-level density of states	9.19	states/eV per cell
# ΔE_f (raw)	0.620	eV/atom
# space-group type	No. 205
# crystal system	cubic

***

Please write out number 2 again, unchanged.
# CeNp2P3, relaxed, DFT GGA-PBE
data_CeNp2P3
_symmetry_space_group_name_H-M 'P 1'
_symmetry_Int_Tables_number 1
_symmetry_space_group_name_Hall 'P 1'
_cell_length_a 4.012
_cell_length_b 5.673
_cell_length_c 6.929
_cell_angle_alpha 114.17
_cell_angle_beta 106.83
_cell_angle_gamma 90.00
loop_
_atom_site_label
_atom_site_type_symbol
_atom_site_fract_x
_atom_site_fract_y
_atom_site_fract_z
Ce1 Ce 0.000 0.500 0.000
Np1 Np 0.665 0.165 0.330
Np2 Np 0.335 0.835 0.670
P1 P 0.327 0.327 0.654
P2 P 0.000 0.000 0.000
P3 P 0.673 0.673 0.346
# mass density	8.60	g/cm3
# magnetic moment	8.103	Bohr magnetons per cell
# Fermi-level density of states	17.65	states/eV per cell
# ΔH_f (0 K)	-1072	meV/atom
# space-group type	No. 71
# crystal system	orthorhombic

***

Q: The highest Fermi-level density of states belongs to which entry?
A: CeNp2P3

***

What did the third record say?
# Si2Se, relaxed, DFT GGA-PBE
data_Si2Se
_symmetry_space_group_name_H-M 'P 1'
_symmetry_Int_Tables_number 1
_symmetry_space_group_name_Hall 'P 1'
_cell_length_a 6.301
_cell_length_b 6.301
_cell_length_c 6.301
_cell_angle_alpha 90.00
_cell_angle_beta 90.00
_cell_angle_gamma 90.00
loop_
_atom_site_label
_atom_site_type_symbol
_atom_site_fract_x
_atom_site_fract_y
_atom_site_fract_z
Si1 Si 0.609 0.609 0.391
Si2 Si 0.391 0.391 0.609
Si3 Si 0.109 0.891 0.609
Si4 Si 0.891 0.109 0.391
Si5 Si 0.391 0.109 0.109
Si6 Si 0.609 0.891 0.891
Si7 Si 0.891 0.391 0.891
Si8 Si 0.109 0.609 0.109
Se1 Se 0.000 0.000 0.000
Se2 Se 0.500 0.500 0.000
Se3 Se 0.500 0.000 0.500
Se4 Se 0.000 0.500 0.500
# mass density	3.59	g/cm3
# energy above the most stable polymorph in this dataset	789	meV per atom
# magnetic moment	0.000	Bohr magnetons per cell
# Fermi-level density of states	9.19	states/eV per cell
# ΔE_f (raw)	0.620	eV/atom
# space-group type	No. 205
# crystal system	cubic